Record 1
{
  "formula": "Ta3Zn",
  "functional": "PBE",
  "state": "optimized geometry",
  "cell": [[4.809, -1.464, 0.000], [4.809, 1.464, 0.000], [-0.892, 0.000, 4.993]],
  "species": ["Ta", "Ta", "Ta", "Zn"],
  "frac_coords": [[0.000, 0.000, 0.000], [0.240, 0.240, 0.739], [0.760, 0.760, 0.261], [0.500, 0.500, 0.500]],
  "energy_ev_per_atom": -9.09,
  "m_tot_mub_per_cell": 0.000,
  "delta_e_f_kj_per_mol_atoms": 11.7
}


Record 2
{
  "formula": "Ta2Zn",
  "functional": "PBE",
  "state": "optimized geometry",
  "cell": [[5.587, 0.000, 0.000], [0.000, 4.352, 0.000], [0.000, 0.000, 8.367]],
  "species": ["Ta", "Ta", "Ta", "Ta", "Ta", "Ta", "Ta", "Ta", "Zn", "Zn", "Zn", "Zn"],
  "frac_coords": [[0.105, 0.250, 0.225], [0.137, 0.250, 0.564], [0.363, 0.750, 0.064], [0.395, 0.750, 0.725], [0.605, 0.250, 0.275], [0.637, 0.250, 0.936], [0.863, 0.750, 0.436], [0.895, 0.750, 0.775], [0.148, 0.250, 0.895], [0.352, 0.750, 0.395], [0.648, 0.250, 0.605], [0.852, 0.750, 0.105]],
  "energy_ev_per_atom": -8.26,
  "m_tot_mub_per_cell": 0.000,
  "delta_e_f_kj_per_mol_atoms": 6.2
}


Record 3
{
  "formula": "TaZn",
  "functional": "PBE",
  "state": "optimized geometry",
  "cell": [[-1.508, 2.359, 4.573], [1.508, -2.359, 4.573], [1.508, 2.359, -4.573]],
  "species": ["Ta", "Ta", "Zn", "Zn"],
  "frac_coords": [[0.368, 0.118, 0.250], [0.632, 0.882, 0.750], [0.111, 0.361, 0.750], [0.889, 0.639, 0.250]],
  "energy_ev_per_atom": -6.49,
  "m_tot_mub_per_cell": 0.000,
  "delta_e_f_kj_per_mol_atoms": 7.5
}


Record 4
{
  "formula": "TaZn",
  "functional": "PBE",
  "state": "optimized geometry",
  "cell": [[-4.180, 4.180, 4.180], [4.180, -4.180, 4.180], [4.180, 4.180, -4.180]],
  "species": ["Ta", "Ta", "Ta", "Ta", "Zn", "Zn", "Zn", "Zn"],
  "frac_coords": [[0.000, 0.000, 0.224], [0.000, 0.224, 0.000], [0.224, 0.000, 0.000], [0.776, 0.776, 0.776], [0.000, 0.000, 0.607], [0.000, 0.607, 0.000], [0.393, 0.393, 0.393], [0.607, 0.000, 0.000]],
  "energy_ev_per_atom": -5.21,
  "m_tot_mub_per_cell": 0.000,
  "delta_e_f_kj_per_mol_atoms": 130.9
}